TlHg8Au2 PBE-GGA relaxed; crystal system = monoclinic; DFT total energy = -1.000 eV/atom; E_form = 32 kJ/mol of formula units; SG = C2/m, No. 12
1.0
-3.935 2.412 -2.979
4.791 -1.454 -5.826
-4.052 -6.211 2.004
Tl Hg Au
1 8 2
Direct
0.500 0.000 0.000
0.896 0.924 0.683
0.896 0.683 0.924
0.316 0.617 0.617
0.500 0.741 0.259
0.500 0.259 0.741
0.684 0.383 0.383
0.104 0.317 0.076
0.104 0.076 0.317
0.000 0.312 0.688
0.000 0.688 0.312